Record 1
Material: CdPtCl
Method: DFT, SCAN
State: single point on PBEsol structure

Results
The value obtained for the magnetization is 0.0000 μB/atom. The value obtained for the density of states at the Fermi level is 0.72 states/eV/f.u. For the energy above the most stable polymorph in this dataset, the calculation gives 51.4 kJ/mol of formula units. The formation energy from raw total energies comes out at 99 meV per atom. As for the space group: No. 216.

abc: 4.4430 4.4430 4.4430
angles: 60.00 60.00 60.00
Fractional positions:
Cl 0.5000 0.5000 0.5000
Pt 0.7500 0.7500 0.7500
Cd 0.0000 0.0000 0.0000

Record 2
Material: MgAgRu2
Method: DFT, SCAN
State: single point on PBEsol structure

Results
The value obtained for the magnetization is 0.0000 μB/atom. The value obtained for the density of states at the Fermi level is 2.79 states/eV/f.u. The formation enthalpy at 0 K is 0.058 eV per atom. As for the space group: No. 99.

abc: 2.8172 2.8172 7.6368
angles: 90.00 90.00 90.00
Fractional positions:
Ag 0.0000 0.0000 0.4924
Mg 0.5000 0.5000 0.7641
Ru 0.0000 0.0000 0.0191
Ru 0.5000 0.5000 0.2244